No. 1
The following is a GGA-PBE calculation of an optimized crystal structure of Ba2Cd5In4, from Alexandria via LeMat-Bulk.

Computed properties:
The calculation puts the energy of formation at -0.204 eV per atom. The total magnetic moment is 0.000 μB per cell. For the theoretical density, the calculation gives 6.5 g/cm³. The calculation puts the calculated total energy at -1.97 eV/atom.

Unit cell a=10.4350 b=9.5904 c=6.3958 alpha=78.72 beta=64.33 gamma=36.95
Atoms (fractional coordinates):
Ba1 0.1362 0.1362 0.8638
Ba2 0.8638 0.8638 0.1362
Cd1 0.0000 0.0000 0.5000
Cd2 0.2500 0.2500 0.2500
Cd3 0.5000 0.5000 0.0000
Cd4 0.5000 0.5000 0.5000
Cd5 0.7500 0.7500 0.7500
In1 0.2206 0.5022 0.4978
In2 0.4978 0.7794 0.2206
In3 0.5022 0.2206 0.7794
In4 0.7794 0.4978 0.5022

No. 2
The following is a GGA-PBE calculation of an optimized crystal structure of BaCd2In8, from Alexandria via LeMat-Bulk.

Computed properties:
The calculation puts the energy of formation at -0.053 eV per atom. The total magnetic moment is 0.000 μB per cell. For the theoretical density, the calculation gives 6.3 g/cm³. The calculation puts the calculated total energy at -2.39 eV/atom.

Unit cell a=5.5766 b=5.5766 c=10.9856 alpha=90.00 beta=90.00 gamma=95.22
Atoms (fractional coordinates):
Ba1 0.0000 0.0000 0.0000
Cd1 0.0000 0.0000 0.3514
Cd2 0.0000 0.0000 0.6486
In1 0.0000 0.5000 0.2107
In2 0.0000 0.5000 0.5000
In3 0.0000 0.5000 0.7893
In4 0.5000 0.0000 0.2107
In5 0.5000 0.0000 0.5000
In6 0.5000 0.0000 0.7893
In7 0.5000 0.5000 0.3503
In8 0.5000 0.5000 0.6497

No. 3
The following is a GGA-PBE calculation of an optimized crystal structure of Ba2Cd2In3, from Alexandria via LeMat-Bulk.

Computed properties:
The calculation puts the energy of formation at -0.328 eV per atom. The total magnetic moment is 0.000 μB per cell. For the theoretical density, the calculation gives 6.2 g/cm³. The calculation puts the calculated total energy at -2.31 eV/atom.

Unit cell a=6.7249 b=6.7249 c=7.7288 alpha=112.07 beta=112.07 gamma=44.68
Atoms (fractional coordinates):
Ba1 0.1550 0.1550 0.2766
Ba2 0.8450 0.8450 0.7234
Cd1 0.1486 0.1486 0.7682
Cd2 0.8514 0.8514 0.2318
In1 0.4071 0.4071 0.0759
In2 0.5000 0.5000 0.5000
In3 0.5929 0.5929 0.9241

No. 4
The following is a GGA-PBE calculation of an optimized crystal structure of BaCd2In2, from Alexandria via LeMat-Bulk.

Computed properties:
The calculation puts the energy of formation at -0.151 eV per atom. The total magnetic moment is 0.000 μB per cell. For the theoretical density, the calculation gives 6.7 g/cm³. The calculation puts the calculated total energy at -2.00 eV/atom.

Unit cell a=8.9798 b=8.9798 c=3.6424 alpha=90.00 beta=90.00 gamma=90.00
Atoms (fractional coordinates):
Ba1 0.0000 0.0000 0.0000
Ba2 0.5000 0.5000 0.0000
Cd1 0.1216 0.3784 0.0000
Cd2 0.3784 0.8784 0.0000
Cd3 0.6216 0.1216 0.0000
Cd4 0.8784 0.6216 0.0000
In1 0.1711 0.6711 0.5000
In2 0.3289 0.1711 0.5000
In3 0.6711 0.8289 0.5000
In4 0.8289 0.3289 0.5000